A relaxed SmHo2Tl2Cd2 crystal, computed with PBE.

a b c (Å): 9.189 9.189 9.189
angles (deg): 31.73 31.73 31.73
Fractional positions:
Sm  0.000  0.000  0.000
Ho  0.134  0.134  0.134
Ho  0.866  0.866  0.866
Tl  0.269  0.269  0.269
Tl  0.731  0.731  0.731
Cd  0.431  0.431  0.431
Cd  0.569  0.569  0.569

Calculated values
Energy relative to the elements   -1.06 eV per formula unit
Total energy   -3.071 eV/atom
Magnetization   0.0001 μB per atom
Volume   27.22 Å³/atom

A relaxed Sm2HoTl2Cd2 crystal, computed with PBE.

a b c (Å): 9.609 9.609 9.609
angles (deg): 30.12 30.12 30.12
Fractional positions:
Sm  0.126  0.126  0.126
Sm  0.874  0.874  0.874
Ho  0.000  0.000  0.000
Tl  0.259  0.259  0.259
Tl  0.741  0.741  0.741
Cd  0.389  0.389  0.389
Cd  0.611  0.611  0.611

Calculated values
Energy relative to the elements   -1.04 eV per formula unit
Total energy   -3.089 eV/atom
Magnetization   0.0002 μB per atom
Volume   28.27 Å³/atom

A relaxed SmYHoCd crystal, computed with PBE.

a b c (Å): 3.612 3.612 9.045
angles (deg): 90.00 90.00 90.00
Fractional positions:
Sm  0.000  0.000  0.000
Y  0.500  0.500  0.720
Ho  0.500  0.500  0.275
Cd  0.000  0.000  0.495

Calculated values
Energy relative to the elements   -0.62 eV per formula unit
Total energy   -4.325 eV/atom
Magnetization   0.0000 μB per atom
Offset from the most stable computed form   0.000 eV/atom
Volume   29.50 Å³/atom

A relaxed SmYHoCd crystal, computed with PBE.

a b c (Å): 5.478 5.478 5.478
angles (deg): 60.00 60.00 60.00
Fractional positions:
Sm  0.000  0.000  0.000
Y  0.500  0.500  0.500
Ho  0.250  0.250  0.250
Cd  0.750  0.750  0.750

Calculated values
Energy relative to the elements   -0.12 eV per formula unit
Total energy   -4.200 eV/atom
Magnetization   0.0020 μB per atom
Offset from the most stable computed form   0.125 eV/atom
Volume   29.07 Å³/atom

A relaxed Ho4Cd2Sn crystal, computed with PBE.

a b c (Å): 9.032 9.032 9.032
angles (deg): 33.37 33.37 33.37
Fractional positions:
Ho  0.119  0.119  0.119
Ho  0.372  0.372  0.372
Ho  0.628  0.628  0.628
Ho  0.881  0.881  0.881
Cd  0.251  0.251  0.251
Cd  0.749  0.749  0.749
Sn  0.500  0.500  0.500

Calculated values
Energy relative to the elements   -1.61 eV per formula unit
Total energy   -3.679 eV/atom
Magnetization   0.0001 μB per atom
Volume   28.36 Å³/atom

A relaxed Ho3Cd2Sn crystal, computed with PBE.

a b c (Å): 8.368 8.368 3.729
angles (deg): 90.00 90.00 143.45
Fractional positions:
Ho  0.000  0.000  0.000
Ho  0.335  0.665  0.000
Ho  0.665  0.335  0.000
Cd  0.176  0.824  0.500
Cd  0.824  0.176  0.500
Sn  0.500  0.500  0.500

Calculated values
Energy relative to the elements   -2.65 eV per formula unit
Total energy   -3.703 eV/atom
Magnetization   0.0000 μB per atom
Volume   25.92 Å³/atom

A relaxed HoCd4Sn crystal, computed with PBE.

a b c (Å): 5.922 5.922 5.922
angles (deg): 60.00 60.00 60.00
Fractional positions:
Ho  0.000  0.000  0.000
Cd  0.125  0.625  0.625
Cd  0.625  0.125  0.625
Cd  0.625  0.625  0.125
Cd  0.625  0.625  0.625
Sn  0.250  0.250  0.250

Calculated values
Energy relative to the elements   -0.56 eV per formula unit
Total energy   -2.133 eV/atom
Magnetization   0.0000 μB per atom
Volume   24.48 Å³/atom

A relaxed HoCdSn crystal, computed with PBE.

a b c (Å): 6.132 6.132 6.625
angles (deg): 108.30 108.30 45.94
Fractional positions:
Ho  0.000  0.000  0.000
Ho  0.181  0.181  0.643
Cd  0.325  0.325  0.177
Cd  0.713  0.713  0.969
Sn  0.464  0.464  0.657
Sn  0.606  0.606  0.333

Calculated values
Energy relative to the elements   -0.92 eV per formula unit
Total energy   -3.472 eV/atom
Magnetization   0.0000 μB per atom
Volume   28.05 Å³/atom

A relaxed Ho2Cd2Sn crystal, computed with PBE.

a b c (Å): 5.665 5.665 6.100
angles (deg): 93.04 93.04 45.37
Fractional positions:
Ho  0.198  0.198  0.207
Ho  0.802  0.802  0.793
Cd  0.094  0.094  0.683
Cd  0.906  0.906  0.317
Sn  0.500  0.500  0.000

Calculated values
Energy relative to the elements   -1.33 eV per formula unit
Total energy   -3.264 eV/atom
Magnetization   0.0000 μB per atom
Volume   27.81 Å³/atom

A relaxed Ho4CdSn crystal, computed with PBE.

a b c (Å): 11.131 11.131 6.487
angles (deg): 90.00 90.00 152.18
Fractional positions:
Ho  0.064  0.936  0.750
Ho  0.204  0.796  0.506
Ho  0.204  0.796  0.994
Ho  0.368  0.632  0.750
Ho  0.632  0.368  0.250
Ho  0.796  0.204  0.006
Ho  0.796  0.204  0.494
Ho  0.936  0.064  0.250
Cd  0.074  0.926  0.250
Cd  0.926  0.074  0.750
Sn  0.341  0.659  0.250
Sn  0.659  0.341  0.750

Calculated values
Energy relative to the elements   -0.91 eV per formula unit
Total energy   -4.024 eV/atom
Magnetization   0.0000 μB per atom
Volume   31.25 Å³/atom